1.
Density functional theory data (GGA-PBEsol) for a geometry-optimized Os2PbAu structure.

abc: 4.583 4.583 4.583
angles: 60.00 60.00 60.00
Element x y z (fractional)
Au  0.500  0.500  0.500
Os  0.000  0.000  0.000
Os  0.750  0.750  0.750
Pb  0.250  0.250  0.250

* magnetic moment: 0.00 μB/cell
* ΔE_f: 1.103 eV/atom
* DOS(E_F): 5.106 states/eV per cell


2.
Density functional theory data (GGA-PBEsol) for a geometry-optimized OsPt2Au structure.

abc: 3.956 3.956 4.763
angles: 114.54 114.54 90.00
Element x y z (fractional)
Au  0.500  0.500  0.000
Os  0.250  0.750  0.500
Pt  0.000  0.000  0.000
Pt  0.750  0.250  0.500

* magnetic moment: 0.00 μB/cell
* ΔE_f: 0.335 eV/atom
* energy above the lowest structure with this stoichiometry: 0.35 eV/f.u.
* DOS(E_F): 3.647 states/eV per cell


3.
Density functional theory data (GGA-PBEsol) for a geometry-optimized OsPt4Au structure.

abc: 5.162 5.162 5.162
angles: 60.00 60.00 60.00
Element x y z (fractional)
Au  0.750  0.750  0.750
Os  0.000  0.000  0.000
Pt  0.375  0.375  0.375
Pt  0.375  0.375  0.875
Pt  0.875  0.375  0.375
Pt  0.375  0.875  0.375

* magnetic moment: 3.02 μB/cell
* ΔE_f: 0.618 eV/atom
* DOS(E_F): 4.521 states/eV per cell


4.
Density functional theory data (GGA-PBEsol) for a geometry-optimized OsPtAu2 structure.

abc: 2.795 2.795 9.321
angles: 81.38 81.38 60.00
Element x y z (fractional)
Au  0.249  0.249  0.254
Au  0.751  0.751  0.746
Os  0.500  0.500  0.500
Pt  0.000  0.000  0.000

* magnetic moment: 0.00 μB/cell
* ΔE_f: 0.341 eV/atom
* energy above the lowest structure with this stoichiometry: 0.00 eV/f.u.
* DOS(E_F): 4.027 states/eV per cell


5.
Density functional theory data (GGA-PBEsol) for a geometry-optimized Os2PtAu structure.

abc: 2.725 4.817 4.817
angles: 110.50 90.00 90.00
Element x y z (fractional)
Au  0.500  0.500  0.500
Os  0.000  0.500  0.000
Os  0.000  0.000  0.500
Pt  0.500  0.000  0.000

* magnetic moment: 0.00 μB/cell
* ΔE_f: 0.538 eV/atom
* energy above the lowest structure with this stoichiometry: 0.00 eV/f.u.
* DOS(E_F): 4.246 states/eV per cell


6.
Density functional theory data (GGA-PBEsol) for a geometry-optimized OsPtAu structure.

abc: 2.755 3.915 4.855
angles: 113.78 106.48 90.00
Element x y z (fractional)
Au  0.001  0.001  0.003
Os  0.672  0.672  0.343
Pt  0.327  0.327  0.654

* magnetic moment: 0.00 μB/cell
* ΔE_f: 0.457 eV/atom
* energy above the lowest structure with this stoichiometry: 0.00 eV/f.u.
* DOS(E_F): 4.474 states/eV per cell


no.,theoretical density (Mg/m³),E (eV per atom)
1,19.14,-6.986
2,21.39,-7.182
3,19.93,-6.714
4,20.83,-6.416
5,21.66,-8.292
6,21.22,-7.244